[1]
The following is a SCAN calculation of YSb2TePd at its PBEsol-relaxed geometry, from Alexandria via LeMat-Bulk.

The formation energy without anion corrections is 0.62 eV/atom.

The structure belongs to space group P4/mmm (No. 123); the cell edges are 5.638, 5.638 and 5.586 Å and the angles 90.00°, 90.00° and 90.00°. The distinct sites, in fractional coordinates, are Y at (0.000, 0.000, 0.000), Sb at (0.000, 0.500, 0.000), Te at (0.000, 0.000, 0.500) and Pd at (0.500, 0.500, 0.500).

[2]
The following is a SCAN calculation of YMn2Ge2 at its PBEsol-relaxed geometry, from Alexandria via LeMat-Bulk.

For the formation enthalpy at 0 K, the calculation gives -0.30 eV per atom.

The structure belongs to space group I4/mmm (No. 139); the cell edges are 4.270, 4.270 and 8.746 Å and the angles 90.00°, 90.00° and 90.00°. The distinct sites, in fractional coordinates, are Y at (0.000, 0.000, 0.000), Mn at (0.000, 0.000, 0.387) and Ge at (0.000, 0.500, 0.250).